(1)
A geometry-optimized Se7Br6 structure, computed with GGA-PBE.

The space-group type is R-3m. The energy relative to the elements, uncorrected comes out at 0.141 eV/atom.

Cell lengths 12.339, 12.339, 12.339 Å; angles 33.10, 33.10, 33.10 degrees
Atoms (fractional coordinates):
1 Se 0.000 0.000 0.000
2 Se 0.053 0.053 0.700
3 Se 0.053 0.700 0.053
4 Se 0.300 0.947 0.947
5 Se 0.700 0.053 0.053
6 Se 0.947 0.300 0.947
7 Se 0.947 0.947 0.300
8 Br 0.235 0.235 0.235
9 Br 0.379 0.379 0.379
10 Br 0.465 0.465 0.465
11 Br 0.535 0.535 0.535
12 Br 0.621 0.621 0.621
13 Br 0.765 0.765 0.765


(2)
A geometry-optimized HfSb3Pd structure, computed with GGA-PBE.

Its offset from the most stable computed form is 0.044 eV/atom. The space-group type is Pm-3m. The energy relative to the elements, uncorrected comes out at 0.544 eV/atom.

Cell lengths 5.440, 5.440, 5.440 Å; angles 90.00, 90.00, 90.00 degrees
Atoms (fractional coordinates):
1 Hf 0.000 0.000 0.000
2 Sb 0.000 0.000 0.500
3 Sb 0.000 0.500 0.000
4 Sb 0.500 0.000 0.000
5 Pd 0.500 0.500 0.500


(3)
A geometry-optimized LiBeFeOs structure, computed with GGA-PBE.

The value obtained for the calculated formation energy is 0.0774 eV per atom. The space-group type is F-43m.

Cell lengths 3.960, 3.960, 3.960 Å; angles 60.00, 60.00, 60.00 degrees
Atoms (fractional coordinates):
1 Li 0.000 0.000 0.000
2 Be 0.250 0.250 0.250
3 Fe 0.750 0.750 0.750
4 Os 0.500 0.500 0.500


Computed values of uncorrected energy (unit: eV per cell) for the preceding records, in sequence: -32.60 -24.79 -25.02.